# TbYInPt, relaxed, DFT GGA-PBE
# ΔH_f (0 K)   -17.32 kcal/mol of atoms
# Calculated total energy   -5.72 eV per atom
data_TbYInPt
_chemical_formula_sum 'Tb4 Y4 In4 Pt4'
_symmetry_space_group_name_H-M 'F -4 3 m'
_symmetry_Int_Tables_number 216
_symmetry_space_group_name_Hall 'F -4 2 3'
_cell_length_a 7.2756
_cell_length_b 7.2756
_cell_length_c 7.2756
_cell_angle_alpha 90.00
_cell_angle_beta 90.00
_cell_angle_gamma 90.00
loop_
_atom_site_label
_atom_site_type_symbol
_atom_site_fract_x
_atom_site_fract_y
_atom_site_fract_z
Tb1 Tb 0.0000 0.0000 0.0000
Y1 Y 0.0000 0.0000 0.5000
In1 In 0.2500 0.2500 0.7500
Pt1 Pt 0.2500 0.2500 0.2500

=====

# TbZnInPt, relaxed, DFT GGA-PBE
# ΔH_f (0 K)   -15.53 kcal/mol of atoms
# Calculated total energy   -4.34 eV per atom
data_TbZnInPt
_chemical_formula_sum 'Tb4 Zn4 In4 Pt4'
_symmetry_space_group_name_H-M 'F -4 3 m'
_symmetry_Int_Tables_number 216
_symmetry_space_group_name_Hall 'F -4 2 3'
_cell_length_a 6.8229
_cell_length_b 6.8229
_cell_length_c 6.8229
_cell_angle_alpha 90.00
_cell_angle_beta 90.00
_cell_angle_gamma 90.00
loop_
_atom_site_label
_atom_site_type_symbol
_atom_site_fract_x
_atom_site_fract_y
_atom_site_fract_z
Tb1 Tb 0.0000 0.0000 0.0000
Zn1 Zn 0.2500 0.2500 0.2500
In1 In 0.0000 0.0000 0.5000
Pt1 Pt 0.2500 0.2500 0.7500

=====

# Tb2Zn2InPt5, relaxed, DFT GGA-PBE
# ΔH_f (0 K)   -19.28 kcal/mol of atoms
# Calculated total energy   -5.31 eV per atom
data_Tb2Zn2InPt5
_chemical_formula_sum 'Tb4 Zn4 In2 Pt10'
_symmetry_space_group_name_H-M 'P 4/m b m'
_symmetry_Int_Tables_number 127
_symmetry_space_group_name_Hall '-P 4 2ab'
_cell_length_a 9.6944
_cell_length_b 9.6944
_cell_length_c 3.8575
_cell_angle_alpha 90.00
_cell_angle_beta 90.00
_cell_angle_gamma 90.00
loop_
_atom_site_label
_atom_site_type_symbol
_atom_site_fract_x
_atom_site_fract_y
_atom_site_fract_z
Tb1 Tb 0.1765 0.3235 0.0000
Zn1 Zn 0.1203 0.6203 0.0000
In1 In 0.0000 0.0000 0.0000
Pt1 Pt 0.0000 0.5000 0.5000
Pt2 Pt 0.0674 0.7917 0.5000

=====

# InTc2Pt, relaxed, DFT GGA-PBE
# ΔH_f (0 K)   1.73 kcal/mol of atoms
# Calculated total energy   -7.30 eV per atom
data_InTc2Pt
_chemical_formula_sum 'In2 Tc4 Pt2'
_symmetry_space_group_name_H-M 'C 1 m 1'
_symmetry_Int_Tables_number 8
_symmetry_space_group_name_Hall 'C -2y'
_cell_length_a 9.2242
_cell_length_b 2.8248
_cell_length_c 5.0275
_cell_angle_alpha 90.00
_cell_angle_beta 98.47
_cell_angle_gamma 90.00
loop_
_atom_site_label
_atom_site_type_symbol
_atom_site_fract_x
_atom_site_fract_y
_atom_site_fract_z
In1 In 0.0000 0.0000 0.0000
Tc1 Tc 0.2433 0.0000 0.6962
Tc2 Tc 0.4981 0.0000 0.5125
Pt1 Pt 0.2524 0.5000 0.2272

=====

# InTc2Pt, relaxed, DFT GGA-PBE
# ΔH_f (0 K)   5.16 kcal/mol of atoms
# Calculated total energy   -7.15 eV per atom
data_InTc2Pt
_chemical_formula_sum 'In4 Tc8 Pt4'
_symmetry_space_group_name_H-M 'F -4 3 m'
_symmetry_Int_Tables_number 216
_symmetry_space_group_name_Hall 'F -4 2 3'
_cell_length_a 6.4003
_cell_length_b 6.4003
_cell_length_c 6.4003
_cell_angle_alpha 90.00
_cell_angle_beta 90.00
_cell_angle_gamma 90.00
loop_
_atom_site_label
_atom_site_type_symbol
_atom_site_fract_x
_atom_site_fract_y
_atom_site_fract_z
In1 In 0.0000 0.0000 0.0000
Tc1 Tc 0.0000 0.0000 0.5000
Tc2 Tc 0.2500 0.2500 0.2500
Pt1 Pt 0.2500 0.2500 0.7500

=====

# In4TcPt, relaxed, DFT GGA-PBE
# ΔH_f (0 K)   18.06 kcal/mol of atoms
# Calculated total energy   -3.78 eV per atom
data_In4TcPt
_chemical_formula_sum 'In16 Tc4 Pt4'
_symmetry_space_group_name_H-M 'F -4 3 m'
_symmetry_Int_Tables_number 216
_symmetry_space_group_name_Hall 'F -4 2 3'
_cell_length_a 8.0232
_cell_length_b 8.0232
_cell_length_c 8.0232
_cell_angle_alpha 90.00
_cell_angle_beta 90.00
_cell_angle_gamma 90.00
loop_
_atom_site_label
_atom_site_type_symbol
_atom_site_fract_x
_atom_site_fract_y
_atom_site_fract_z
In1 In 0.1251 0.1251 0.1251
Tc1 Tc 0.0000 0.0000 0.5000
Pt1 Pt 0.2500 0.2500 0.7500